DFT (GGA+U) results for a geometry-optimized CoSnSO structure.

Results
* space group: No. 29
* volume: 303.26 Å³ per cell
* calculated density: 4.94 g/cm³
* VASP energy: -5.247 eV/atom

```
16
Lattice="-4.898 2.647 1.893 -3.118 0.359 -8.572 -2.460 -5.040 0.684" Properties=species:S:1:pos:R:3 pbc="T T T"
Co -7.018 -0.457 -6.528
O -8.836 -0.342 -5.666
Sn -4.881 -1.423 -1.442
S -3.816 1.081 -1.399
Co -1.874 -2.090 -0.065
O -3.817 -1.962 0.452
Sn -3.524 -2.621 -5.390
S -5.890 -1.536 -4.810
Sn -4.709 1.204 -4.799
O -0.969 -0.316 -0.516
Co -9.700 -2.192 -5.625
S -2.668 -0.093 -5.922
S -7.037 -0.362 -0.287
O -5.988 1.303 -6.633
Sn -6.066 2.402 -0.851
Co -4.556 -3.825 0.838
```